1.
First-principles (PBE) data for a relaxed TaCoGePd crystal, as listed in OQMD.

Lattice parameters (Å, degrees): 4.3686 4.3686 4.3686 60.00 60.00 60.00
Closest atoms and distances in Å follow each position.
Sites, in units of the cell vectors:
1 Co 0.7500 0.7500 0.7500  4 Pd 2.68, 4 Ge 2.68
2 Ge 0.0000 0.0000 0.0000  4 Ta 2.68, 4 Co 2.68
3 Pd 0.5000 0.5000 0.5000  4 Ta 2.68, 4 Co 2.68
4 Ta 0.2500 0.2500 0.2500  4 Pd 2.68, 4 Ge 2.68

Computed properties:
total DFT energy (no corrections) = -29.026 eV for the cell shown


2.
First-principles (PBE) data for a relaxed TaCoGePd crystal, as listed in OQMD.

Lattice parameters (Å, degrees): 4.3606 4.3606 4.3606 60.00 60.00 60.00
Closest atoms and distances in Å follow each position.
Sites, in units of the cell vectors:
1 Co 0.7500 0.7500 0.7500  4 Ge 2.67, 4 Ta 2.67
2 Ge 0.0000 0.0000 0.0000  4 Pd 2.67, 4 Co 2.67
3 Pd 0.2500 0.2500 0.2500  4 Ge 2.67, 4 Ta 2.67
4 Ta 0.5000 0.5000 0.5000  4 Pd 2.67, 4 Co 2.67

Computed properties:
total DFT energy (no corrections) = -29.206 eV for the cell shown


3.
First-principles (PBE) data for a relaxed YCoGePd crystal, as listed in OQMD.

Lattice parameters (Å, degrees): 4.6478 4.6478 4.6478 60.00 60.00 60.00
Closest atoms and distances in Å follow each position.
Sites, in units of the cell vectors:
1 Co 0.7500 0.7500 0.7500  4 Ge 2.85, 4 Pd 2.85
2 Ge 0.0000 0.0000 0.0000  4 Co 2.85, 4 Y 2.85
3 Pd 0.5000 0.5000 0.5000  4 Co 2.85, 4 Y 2.85
4 Y 0.2500 0.2500 0.2500  4 Pd 2.85, 4 Ge 2.85

Computed properties:
total DFT energy (no corrections) = -24.419 eV for the cell shown


4.
First-principles (PBE) data for a relaxed Y2CoGe4Pd crystal, as listed in OQMD.

Lattice parameters (Å, degrees): 4.2925 8.6901 8.6901 27.69 90.00 90.00
Closest atoms and distances in Å follow each position.
Sites, in units of the cell vectors:
1 Co 0.0000 0.3197 0.3197  5 Ge 2.28-2.37
2 Ge 0.5000 0.2603 0.2603  2 Co 2.37, 2 Pd 2.52
3 Ge 0.0000 0.4550 0.4550  1 Co 2.28, 2 Ge 2.52
4 Ge 0.5000 0.5329 0.5329  1 Pd 2.42, 2 Ge 2.52
5 Ge 0.0000 0.7562 0.7562  2 Co 2.34, 2 Pd 2.54
6 Pd 0.5000 0.6761 0.6761  5 Ge 2.42-2.54
7 Y 0.0000 0.1070 0.1070  4 Pd 3.21, 10 Ge 3.24-3.36, 1 Co 3.59
8 Y 0.5000 0.8928 0.8928  10 Ge 3.05-3.17, 4 Co 3.23

Computed properties:
total DFT energy (no corrections) = -49.163 eV for the cell shown


5.
First-principles (PBE) data for a relaxed YCoGePd crystal, as listed in OQMD.

Lattice parameters (Å, degrees): 4.5692 4.5692 4.5692 60.00 60.00 60.00
Closest atoms and distances in Å follow each position.
Sites, in units of the cell vectors:
1 Co 0.7500 0.7500 0.7500  4 Y 2.80, 4 Ge 2.80
2 Ge 0.0000 0.0000 0.0000  4 Pd 2.80, 4 Co 2.80
3 Pd 0.2500 0.2500 0.2500  4 Y 2.80, 4 Ge 2.80
4 Y 0.5000 0.5000 0.5000  4 Pd 2.80, 4 Co 2.80

Computed properties:
total DFT energy (no corrections) = -24.984 eV for the cell shown


6.
First-principles (PBE) data for a relaxed PmCo2Ge2 crystal, as listed in OQMD.

Lattice parameters (Å, degrees): 5.8580 5.8580 5.8580 140.04 140.04 57.79
Closest atoms and distances in Å follow each position.
Sites, in units of the cell vectors:
1 Co 0.7500 0.2500 0.5000  4 Ge 2.35
2 Co 0.2500 0.7500 0.5000  4 Ge 2.35
3 Ge 0.3695 0.3695 0.0000  4 Co 2.35
4 Ge 0.6305 0.6305 0.0000  4 Co 2.35
5 Pm 0.0000 0.0000 0.0000  8 Ge 3.13, 8 Co 3.25

Computed properties:
total DFT energy (no corrections) = -31.216 eV for the cell shown